Entry 1:
Entry from the Alexandria database: crystalline YPb2Br at its relaxed geometry (GGA-PBE).

Cell and atoms, written as POSCAR:
```
YPb2Br
1.0
-4.292 -1.781 -3.791
0.781 -4.173 1.076
-2.957 0.276 3.219
Pb Br Y
2 1 1
Cartesian
-1.088 -1.948 2.147
0.000 0.000 0.000
-3.625 -0.752 -0.286
-1.755 -2.977 -1.357
```

Properties
* energy above the lowest structure with this stoichiometry: 0.200 eV per atom
* final energy: -17.087 eV/cell

=====

Entry 2:
Entry from the Alexandria database: crystalline YPb2Br at its relaxed geometry (GGA-PBE).

Cell and atoms, written as POSCAR:
```
YPb2Br
1.0
3.666 -0.011 0.000
-0.626 3.612 0.000
0.000 0.000 9.493
Y Pb Br
1 2 1
Cartesian
0.000 0.000 4.711
1.520 1.801 2.596
0.000 0.000 0.438
1.520 1.801 6.494
```

Properties
* energy above the lowest structure with this stoichiometry: 0.000 eV per atom
* final energy: -17.887 eV/cell

=====

Entry 3:
Entry from the Alexandria database: crystalline YPbBr3 at its relaxed geometry (GGA-PBE).

Cell and atoms, written as POSCAR:
```
YPbBr3
1.0
-1.382 3.127 -4.434
0.850 -4.394 -3.364
-5.359 -1.503 0.610
Br Pb Y
3 1 1
Cartesian
0.425 -2.197 -1.682
-0.691 1.564 -2.217
-2.679 -0.752 0.305
-2.946 -1.385 -3.594
0.000 0.000 0.000
```

Properties
* energy above the lowest structure with this stoichiometry: 0.000 eV per atom
* final energy: -19.713 eV/cell

=====

Entry 4:
Entry from the Alexandria database: crystalline YPb2Br at its relaxed geometry (GGA-PBE).

Cell and atoms, written as POSCAR:
```
YPb2Br
1.0
-0.662 -3.583 0.587
1.651 -0.828 -3.193
8.111 -0.778 4.395
Pb Br Y
2 1 1
Cartesian
0.457 -0.044 0.247
2.688 -2.416 -0.114
5.969 -2.731 1.663
4.041 -0.388 2.190
```

Properties
* energy above the lowest structure with this stoichiometry: 0.004 eV per atom
* final energy: -17.869 eV/cell

=====

Entry 5:
Entry from the Alexandria database: crystalline YPb3Br at its relaxed geometry (GGA-PBE).

Cell and atoms, written as POSCAR:
```
YPb3Br
1.0
-3.435 3.623 -2.653
-3.435 0.031 4.490
2.892 4.340 2.182
Pb Y Br
3 1 1
Cartesian
-1.717 0.016 2.245
1.446 2.170 1.091
-1.717 1.811 -1.326
-1.989 3.997 2.010
0.000 0.000 0.000
```

Properties
* energy above the lowest structure with this stoichiometry: 0.000 eV per atom
* final energy: -17.674 eV/cell

=====

Entry 6:
Entry from the Alexandria database: crystalline YPb2Br at its relaxed geometry (GGA-PBE).

Cell and atoms, written as POSCAR:
```
YPb2Br
1.0
-1.219 -3.737 5.049
1.932 -2.303 5.649
-2.281 3.117 4.535
Pb Y Br
2 1 1
Cartesian
-2.272 3.092 4.546
-1.104 -2.358 11.440
-0.765 -1.577 7.792
-0.493 -0.425 3.607
```

Properties
* energy above the lowest structure with this stoichiometry: 0.105 eV per atom
* final energy: -17.468 eV/cell

=====

Entry 7:
Entry from the Alexandria database: crystalline Y2Pb2Br at its relaxed geometry (GGA-PBE).

Cell and atoms, written as POSCAR:
```
Y2Pb2Br
1.0
8.044 0.000 0.000
0.000 8.044 0.000
0.000 0.000 4.526
Br Y Pb
2 4 4
Cartesian
4.022 4.022 0.000
0.000 0.000 0.000
1.378 2.644 0.000
6.666 5.399 0.000
5.399 1.378 0.000
2.644 6.666 0.000
6.978 2.956 2.263
1.066 5.087 2.263
5.087 6.978 2.263
2.956 1.066 2.263
```

Properties
* final energy: -51.137 eV/cell

=====

Entry 8:
Entry from the Alexandria database: crystalline YPb2Br at its relaxed geometry (GGA-PBE).

Cell and atoms, written as POSCAR:
```
YPb2Br
1.0
-3.485 0.709 -0.645
-1.286 -5.081 1.360
-0.696 1.674 5.598
Pb Br Y
2 1 1
Cartesian
0.000 0.000 0.000
-2.386 -2.186 0.357
-0.991 -1.703 3.479
-2.091 1.192 2.476
```

Properties
* energy above the lowest structure with this stoichiometry: 0.175 eV per atom
* final energy: -17.188 eV/cell